# Dy6Si2TeSe3

A relaxed Dy6Si2TeSe3 crystal (PBE-GGA, Alexandria via LeMat-Bulk).

```
12
Lattice="-2.931 -0.395 -2.900 -3.989 -5.578 4.791 -2.181 8.037 4.066" Properties=species:S:1:pos:R:3 pbc="T T T"
Se -4.580 4.186 1.099
Se -3.460 -2.987 0.945
Se -4.521 -2.122 4.857
Te -1.465 -0.198 -1.450
Dy -3.158 1.927 -0.030
Dy -7.957 3.441 4.613
Dy -5.008 -0.741 2.204
Dy -5.943 0.137 5.987
Dy -1.144 -1.378 1.343
Dy -4.093 2.805 3.753
Si -2.563 0.753 2.487
Si -6.538 1.311 3.470
```

Summary:
V = 305 Å³ per cell
SG = C2/m (12)
crystal system = monoclinic
calculated density = 7.59 g/cm3
DFT total energy = -69.012 eV/cell



# Mg3ZnPd2

A relaxed Mg3ZnPd2 crystal (PBE-GGA, Alexandria via LeMat-Bulk).

```
6
Lattice="-2.734 1.639 -0.010 -0.907 -1.496 2.665 4.225 7.085 5.417" Properties=species:S:1:pos:R:3 pbc="T T T"
Mg 1.358 2.277 1.741
Mg 2.867 4.808 3.676
Mg 0.000 0.000 0.000
Pd -1.130 1.230 2.213
Pd 1.713 5.997 5.858
Zn 0.292 3.614 4.036
```

Summary:
V = 100 Å³ per cell
SG = P4/mmm (123)
energy relative to the elements = -540 meV/atom
crystal system = tetragonal
calculated density = 5.81 g/cm3



# Sn2Pb2S5

A relaxed Sn2Pb2S5 crystal (PBE-GGA, Alexandria via LeMat-Bulk).

```
9
Lattice="4.910 0.000 0.000 -2.455 8.237 0.171 0.000 -1.172 6.278" Properties=species:S:1:pos:R:3 pbc="T T T"
Pb 2.455 0.694 1.939
Pb 0.000 6.371 4.509
Sn 2.455 5.580 0.811
Sn 0.000 1.485 5.638
S 0.000 0.000 0.000
S 0.000 4.251 6.255
S 2.455 5.389 3.239
S 2.455 2.814 0.193
S 0.000 1.676 3.210
```

Summary:
V = 255 Å³ per cell
SG = C2/m (12)
crystal system = monoclinic
calculated density = 5.29 g/cm3
DFT total energy = -38.955 eV/cell



# KTlGe2Cl6

A relaxed KTlGe2Cl6 crystal (PBE-GGA, Alexandria via LeMat-Bulk).

```
20
Lattice="-2.037 2.777 9.456 -8.332 3.555 0.474 -1.585 -7.318 5.120" Properties=species:S:1:pos:R:3 pbc="T T T"
Cl -6.905 -2.285 9.623
Cl -2.211 1.161 3.449
Cl -5.049 1.299 5.427
Cl -6.690 -2.782 13.100
Cl -4.395 -0.008 11.307
Cl -9.563 -2.184 6.295
Cl -9.743 -2.148 11.601
Cl -5.264 1.796 1.950
Cl -2.391 1.198 8.755
Cl -7.559 -0.978 3.743
Cl -9.019 1.225 6.067
Cl -2.935 -2.211 8.983
Tl -3.726 -3.994 6.361
Tl -8.228 3.008 8.690
Ge -4.388 0.184 3.485
Ge -4.284 -0.236 8.986
Ge -7.670 -0.750 6.064
Ge -7.566 -1.170 11.565
K -7.929 2.779 3.466
K -4.025 -3.766 11.584
```

Summary:
V = 702 Å³ per cell
SG = C2/c (15)
crystal system = monoclinic
calculated density = 2.85 g/cm3
DFT total energy = -69.626 eV/cell



# Ba2CdCoGe

A relaxed Ba2CdCoGe crystal (PBE-GGA, Alexandria via LeMat-Bulk).

```
5
Lattice="-2.330 -5.479 -0.462 3.728 -1.205 -4.507 3.079 -1.560 2.964" Properties=species:S:1:pos:R:3 pbc="T T T"
Co 0.000 0.000 0.000
Cd 2.239 -4.122 -1.002
Ba 1.864 -0.603 -2.253
Ba -1.165 -2.739 -0.231
Ge 1.540 -0.780 1.482
```

Summary:
V = 162 Å³ per cell
SG = P4/mmm (123)
energy relative to the elements = -149 meV/atom
crystal system = tetragonal
calculated density = 5.31 g/cm3



# YIn2ReO8

A relaxed YIn2ReO8 crystal (PBE-GGA, Alexandria via LeMat-Bulk).

```
12
Lattice="4.966 -0.061 -0.003 -0.045 4.960 -0.006 0.004 0.007 6.600" Properties=species:S:1:pos:R:3 pbc="T T T"
O 3.533 3.526 6.594
O 3.399 3.390 3.294
O 4.055 0.866 5.233
O 0.872 4.044 5.231
O 4.052 0.862 1.360
O 0.870 4.040 1.359
O 1.391 1.380 -0.002
O 1.526 1.515 3.297
In 2.461 2.451 1.646
In 2.463 2.455 4.945
Y 0.002 0.004 3.300
Re 0.000 0.000 0.000
```

Summary:
V = 163 Å³ per cell
SG = Cmmm (65)
crystal system = orthorhombic
calculated density = 6.47 g/cm3
DFT total energy = -87.006 eV/cell